# 1
Computed, not measured: a geometry-optimized CaTa2Hg structure at the PBEsol level of DFT.

Structure (CIF):
```
data_CaTa2Hg
_cell_length_a 3.453
_cell_length_b 3.453
_cell_length_c 7.255
_cell_angle_alpha 90.00
_cell_angle_beta 90.00
_cell_angle_gamma 90.00
_space_group_name_H-M_alt 'P 4 m m'
_space_group_IT_number 99
_space_group_name_Hall 'P 4 -2'
loop_
_atom_site_label
_atom_site_fract_x
_atom_site_fract_y
_atom_site_fract_z
Ca1 0.000 0.000 0.000
Ta1 0.000 0.000 0.530
Ta2 0.500 0.500 0.693
Hg1 0.500 0.500 0.277
```

Calculated values
- volume (Å³/cell) = 86.5
- ΔE_f (kJ per mole of atoms) = 21
- total energy (eV/atom) = -6.735
- DOS at the Fermi energy (states/eV/atom) = 0.697
- crystal system = tetragonal


# 2
Computed, not measured: a geometry-optimized Zn4CrSi structure at the PBEsol level of DFT.

Structure (CIF):
```
data_Zn4CrSi
_cell_length_a 7.016
_cell_length_b 7.016
_cell_length_c 7.016
_cell_angle_alpha 90.00
_cell_angle_beta 90.00
_cell_angle_gamma 90.00
_space_group_name_H-M_alt 'F -4 3 m'
_space_group_IT_number 216
_space_group_name_Hall 'F -4 2 3'
loop_
_atom_site_label
_atom_site_fract_x
_atom_site_fract_y
_atom_site_fract_z
Zn1 0.124 0.124 0.124
Cr1 0.250 0.250 0.750
Si1 0.000 0.000 0.500
```

Calculated values
- volume (Å³/cell) = 345.3
- uncorrected formation energy (kJ per mole of atoms) = 26
- total energy (eV/atom) = -3.446
- DOS at the Fermi energy (states/eV/atom) = 0.291
- crystal system = cubic


# 3
Computed, not measured: a geometry-optimized Al2GaFeIr structure at the PBEsol level of DFT.

Structure (CIF):
```
data_Al2GaFeIr
_cell_length_a 4.545
_cell_length_b 4.545
_cell_length_c 4.504
_cell_angle_alpha 90.00
_cell_angle_beta 90.00
_cell_angle_gamma 90.00
_space_group_name_H-M_alt 'P 4/m m m'
_space_group_IT_number 123
_space_group_name_Hall '-P 4 2'
loop_
_atom_site_label
_atom_site_fract_x
_atom_site_fract_y
_atom_site_fract_z
Al1 0.000 0.500 0.000
Ga1 0.000 0.000 0.000
Fe1 0.500 0.500 0.500
Ir1 0.000 0.000 0.500
```

Calculated values
- volume (Å³/cell) = 93.0
- ΔE_f (kJ per mole of atoms) = 110
- total energy (eV/atom) = -4.924
- DOS at the Fermi energy (states/eV/atom) = 0.909
- crystal system = tetragonal


# 4
Computed, not measured: a geometry-optimized Ca4NiPt structure at the PBEsol level of DFT.

Structure (CIF):
```
data_Ca4NiPt
_cell_length_a 8.279
_cell_length_b 8.279
_cell_length_c 8.279
_cell_angle_alpha 90.00
_cell_angle_beta 90.00
_cell_angle_gamma 90.00
_space_group_name_H-M_alt 'F -4 3 m'
_space_group_IT_number 216
_space_group_name_Hall 'F -4 2 3'
loop_
_atom_site_label
_atom_site_fract_x
_atom_site_fract_y
_atom_site_fract_z
Ca1 0.125 0.125 0.125
Ni1 0.000 0.000 0.500
Pt1 0.250 0.250 0.750
```

Calculated values
- volume (Å³/cell) = 567.4
- ΔE_f (kJ per mole of atoms) = 69
- total energy (eV/atom) = -2.890
- DOS at the Fermi energy (states/eV/atom) = 1.325
- crystal system = cubic


# 5
Computed, not measured: a geometry-optimized InSnCl3 structure at the PBEsol level of DFT.

Structure (CIF):
```
data_InSnCl3
_cell_length_a 15.209
_cell_length_b 16.128
_cell_length_c 16.769
_cell_angle_alpha 90.00
_cell_angle_beta 90.00
_cell_angle_gamma 90.00
_space_group_name_H-M_alt 'F m m 2'
_space_group_IT_number 42
_space_group_name_Hall 'F 2 -2'
loop_
_atom_site_label
_atom_site_fract_x
_atom_site_fract_y
_atom_site_fract_z
In1 0.000 0.248 0.000
In2 0.187 0.000 0.583
In3 0.190 0.162 0.236
Sn1 0.000 0.000 0.113
Sn2 0.000 0.000 0.397
Sn3 0.000 0.148 0.738
Sn4 0.176 0.000 0.913
Sn5 0.250 0.250 0.477
Cl1 0.000 0.000 0.559
Cl2 0.000 0.000 0.925
Cl3 0.000 0.192 0.258
Cl4 0.111 0.000 0.247
Cl5 0.123 0.178 0.631
Cl6 0.133 0.116 0.063
Cl7 0.146 0.113 0.426
Cl8 0.147 0.176 0.869
Cl9 0.152 0.000 0.759
```

Calculated values
- volume (Å³/cell) = 4113.4
- uncorrected formation energy (kJ per mole of atoms) = -85
- total energy (eV/atom) = -3.532
- DOS at the Fermi energy (states/eV/atom) = 0.000
- crystal system = orthorhombic


# 6
Computed, not measured: a geometry-optimized Hg2BiP structure at the PBEsol level of DFT.

Structure (CIF):
```
data_Hg2BiP
_cell_length_a 7.146
_cell_length_b 7.146
_cell_length_c 7.146
_cell_angle_alpha 90.00
_cell_angle_beta 90.00
_cell_angle_gamma 90.00
_space_group_name_H-M_alt 'F m -3 m'
_space_group_IT_number 225
_space_group_name_Hall '-F 4 2 3'
loop_
_atom_site_label
_atom_site_fract_x
_atom_site_fract_y
_atom_site_fract_z
Hg1 0.250 0.250 0.250
Bi1 0.000 0.000 0.000
P1 0.000 0.000 0.500
```

Calculated values
- volume (Å³/cell) = 364.8
- ΔE_f (kJ per mole of atoms) = 43
- total energy (eV/atom) = -2.359
- DOS at the Fermi energy (states/eV/atom) = 0.586
- crystal system = cubic


# 7
Computed, not measured: a geometry-optimized MgFeW2 structure at the PBEsol level of DFT.

Structure (CIF):
```
data_MgFeW2
_cell_length_a 2.608
_cell_length_b 4.166
_cell_length_c 5.535
_cell_angle_alpha 90.00
_cell_angle_beta 90.00
_cell_angle_gamma 90.00
_space_group_name_H-M_alt 'P m m 2'
_space_group_IT_number 25
_space_group_name_Hall 'P 2 -2'
loop_
_atom_site_label
_atom_site_fract_x
_atom_site_fract_y
_atom_site_fract_z
Mg1 0.000 0.000 0.000
Fe1 0.500 0.500 0.771
W1 0.000 0.000 0.514
W2 0.500 0.500 0.269
```

Calculated values
- volume (Å³/cell) = 60.1
- ΔE_f (kJ per mole of atoms) = 47
- total energy (eV/atom) = -9.083
- DOS at the Fermi energy (states/eV/atom) = 0.670
- crystal system = orthorhombic


# 8
Computed, not measured: a geometry-optimized Si2Se structure at the PBEsol level of DFT.

Structure (CIF):
```
data_Si2Se
_cell_length_a 6.405
_cell_length_b 6.405
_cell_length_c 3.276
_cell_angle_alpha 90.00
_cell_angle_beta 90.00
_cell_angle_gamma 90.00
_space_group_name_H-M_alt 'P 42/m n m'
_space_group_IT_number 136
_space_group_name_Hall '-P 4n 2n'
loop_
_atom_site_label
_atom_site_fract_x
_atom_site_fract_y
_atom_site_fract_z
Si1 0.219 0.219 0.000
Se1 0.000 0.000 0.500
```

Calculated values
- volume (Å³/cell) = 134.4
- uncorrected formation energy (kJ per mole of atoms) = 86
- total energy (eV/atom) = -4.218
- DOS at the Fermi energy (states/eV/atom) = 0.427
- crystal system = tetragonal